Below is a geometry-optimized TlNiSb2 structure, with properties calculated at the PBE level.

Cell lengths 5.323, 5.323, 3.474 Å; angles 90.00, 90.00, 106.59 degrees
Sites, in units of the cell vectors:
Tl  0.000  0.000  0.000
Ni  0.500  0.500  0.000
Sb  0.000  0.500  0.500
Sb  0.500  0.000  0.500

Properties
Spin magnetization, μB per formula unit: 0.00
Mass density, Mg/m³: 8.9
V, Å³/atom: 23.59
E_form (uncorrected), eV per formula unit: 1.723
Electronic total energy, eV per cell: -14.67